1.
A relaxed MgCoPdRh crystal, computed with PBE-GGA.

Lattice parameters (Å, degrees): 6.114 6.114 6.114 90.00 90.00 90.00
Space group F-43m (No. 216)
Unique sites:
Mg1 0.000 0.000 0.000
Co1 0.000 0.000 0.500
Pd1 0.250 0.250 0.750
Rh1 0.250 0.250 0.250

Computed properties:
energy relative to the elements: -0.188 eV/atom
total moment: 11.18 Bohr magnetons per cell

=====

2.
A relaxed Mg2Sc5Co2Pd crystal, computed with PBE-GGA.

Lattice parameters (Å, degrees): 10.879 10.879 3.311 90.00 90.00 90.00
Space group P4/mbm (No. 127)
Unique sites:
Mg1 0.176 0.324 0.000
Sc1 0.000 0.500 0.500
Sc2 0.071 0.795 0.500
Co1 0.131 0.631 0.000
Pd1 0.000 0.000 0.000

Computed properties:
energy relative to the elements: -0.347 eV/atom
total moment: 0.00 Bohr magnetons per cell

=====

3.
A relaxed Mg2CoPdSe crystal, computed with PBE-GGA.

Lattice parameters (Å, degrees): 4.939 4.939 4.262 90.00 90.00 90.00
Space group P4/mmm (No. 123)
Unique sites:
Mg1 0.000 0.500 0.000
Co1 0.000 0.000 0.500
Pd1 0.500 0.500 0.500
Se1 0.000 0.000 0.000

Computed properties:
DFT total energy: -3.595 eV/atom
total moment: 1.06 Bohr magnetons per cell

=====

4.
A relaxed MgCoSiPd crystal, computed with PBE-GGA.

Lattice parameters (Å, degrees): 5.970 5.970 5.970 90.00 90.00 90.00
Space group F-43m (No. 216)
Unique sites:
Mg1 0.000 0.000 0.000
Co1 0.250 0.250 0.250
Si1 0.000 0.000 0.500
Pd1 0.250 0.250 0.750

Computed properties:
DFT total energy: -5.212 eV/atom
total moment: 3.06 Bohr magnetons per cell

=====

5.
A relaxed Mg3Co2Sn3Pd crystal, computed with PBE-GGA.

Lattice parameters (Å, degrees): 7.4347 7.4347 3.3077 90.00 90.00 120.00
Space group P-62m (No. 189)
Unique sites:
Mg1 0.0000 0.7206 0.0000
Co1 0.3333 0.6667 0.0000
Sn1 0.0000 0.3860 0.5000
Pd1 0.0000 0.0000 0.5000

Computed properties:
energy relative to the elements: -0.166 eV/atom
total moment: 0.00 Bohr magnetons per cell

=====

6.
A relaxed TmMgCoPd crystal, computed with PBE-GGA.

Lattice parameters (Å, degrees): 6.514 6.514 6.514 90.00 90.00 90.00
Space group F-43m (No. 216)
Unique sites:
Tm1 0.000 0.000 0.000
Mg1 0.000 0.000 0.500
Co1 0.250 0.250 0.750
Pd1 0.250 0.250 0.250

Computed properties:
energy relative to the elements: -0.404 eV/atom
total moment: 0.00 Bohr magnetons per cell

=====

7.
A relaxed YMgCoPd2 crystal, computed with PBE-GGA.

Lattice parameters (Å, degrees): 4.749 4.749 4.474 90.00 90.00 90.00
Space group P4/mmm (No. 123)
Unique sites:
Y1 0.000 0.000 0.000
Mg1 0.500 0.500 0.000
Co1 0.500 0.500 0.500
Pd1 0.000 0.500 0.500

Computed properties:
energy relative to the elements: 0.037 eV/atom
total moment: 1.77 Bohr magnetons per cell

=====

8.
A relaxed MgZrCoPd crystal, computed with PBE-GGA.

Lattice parameters (Å, degrees): 6.396 6.396 6.396 90.00 90.00 90.00
Space group F-43m (No. 216)
Unique sites:
Mg1 0.000 0.000 0.000
Zr1 0.000 0.000 0.500
Co1 0.250 0.250 0.750
Pd1 0.250 0.250 0.250

Computed properties:
energy relative to the elements: -0.394 eV/atom
total moment: 2.34 Bohr magnetons per cell

=====

Number 1: DOS(E_F) 25.8 states/eV/cell, density 8504 kg/m3. Number 2: DOS(E_F) 17.1 states/eV/cell, density 4218 kg/m3. Number 3: DOS(E_F) 1.8 states/eV/cell, density 4679 kg/m3. Number 4: DOS(E_F) 11.1 states/eV/cell, density 6798 kg/m3. Number 5: DOS(E_F) 4.2 states/eV/cell, density 6852 kg/m3. Number 6: DOS(E_F) 10.0 states/eV/cell, density 8616 kg/m3. Number 7: DOS(E_F) 4.5 states/eV/cell, density 6335 kg/m3. Number 8: DOS(E_F) 11.8 states/eV/cell, density 7129 kg/m3.